# 1
Below is crystalline NdBPtRh2 at its relaxed geometry, with properties calculated at the PBE level.

E_tot (eV/atom): -7.210
Space-group type: P4/mmm, No. 123
ΔE_f (eV per atom): -0.77
Mass density (Mg/m³): 11.66

a = 4.3094 Å, b = 4.3094 Å, c = 4.2647 Å
α = 90.00°, β = 90.00°, γ = 90.00°
With the nearest neighbours (Å) after each atom.
Fractional coordinates of all 5 atoms:
Nd 0.0000 0.0000 0.0000  8 Rh 3.03, 4 Pt 3.05
B 0.5000 0.5000 0.5000  2 Pt 2.13, 4 Rh 2.15
Pt 0.5000 0.5000 0.0000  2 B 2.13
Rh 0.0000 0.5000 0.5000  2 B 2.15
Rh 0.5000 0.0000 0.5000  2 B 2.15

=====

# 2
Below is crystalline Nd2B2PtRh5 at its relaxed geometry, with properties calculated at the PBE level.

E_tot (eV/atom): -7.128
Space-group type: P4/mbm, No. 127
ΔE_f (eV per atom): -0.56
Mass density (Mg/m³): 11.02

a = 9.7243 Å, b = 9.7243 Å, c = 3.2496 Å
α = 90.00°, β = 90.00°, γ = 90.00°
With the nearest neighbours (Å) after each atom.
Fractional coordinates of all 20 atoms:
Nd 0.1785 0.3215 0.0000  3 B 2.76-2.97, 10 Rh 2.94-3.04
Nd 0.3215 0.8215 0.0000  3 B 2.76-2.97, 10 Rh 2.94-3.04
Nd 0.6785 0.1785 0.0000  3 B 2.76-2.97, 10 Rh 2.94-3.04
Nd 0.8215 0.6785 0.0000  3 B 2.76-2.97, 10 Rh 2.94-3.04
B 0.1210 0.6210 0.0000  6 Rh 2.24-2.33
B 0.3790 0.1210 0.0000  6 Rh 2.24-2.33
B 0.6210 0.8790 0.0000  6 Rh 2.24-2.33
B 0.8790 0.3790 0.0000  6 Rh 2.24-2.33
Pt 0.0000 0.0000 0.0000  8 Rh 2.84
Pt 0.5000 0.5000 0.0000  8 Rh 2.84
Rh 0.0000 0.5000 0.5000  4 B 2.33
Rh 0.0695 0.7712 0.5000  2 B 2.24
Rh 0.2288 0.0695 0.5000  2 B 2.24
Rh 0.2712 0.5695 0.5000  2 B 2.24
Rh 0.4305 0.2712 0.5000  2 B 2.24
Rh 0.5000 0.0000 0.5000  4 B 2.33
Rh 0.5695 0.7288 0.5000  2 B 2.24
Rh 0.7288 0.4305 0.5000  2 B 2.24
Rh 0.7712 0.9305 0.5000  2 B 2.24
Rh 0.9305 0.2288 0.5000  2 B 2.24

=====

# 3
Below is crystalline Nd2BPt6Rh at its relaxed geometry, with properties calculated at the PBE level.

E_tot (eV/atom): -6.713
Space-group type: P1, No. 1
ΔE_f (eV per atom): -0.73
Mass density (Mg/m³): 14.00

a = 5.6180 Å, b = 5.6198 Å, c = 7.5518 Å
α = 111.81°, β = 90.03°, γ = 119.96°
With the nearest neighbours (Å) after each atom.
Fractional coordinates of all 10 atoms:
Nd 0.0000 0.0000 0.0000  9 Pt 3.10-3.46, 3 Rh 3.34-3.36
Nd 0.4157 0.8340 0.2481  9 Pt 3.10-3.47, 3 Rh 3.35-3.36
B 0.2082 0.4176 0.6241  6 Pt 2.10
Pt 0.4421 0.3630 0.8053  1 B 2.10
Pt 0.4430 0.8851 0.8085  1 B 2.10
Pt 0.4938 0.4696 0.4412  1 B 2.10
Pt 0.9214 0.3634 0.8062  1 B 2.10
Pt 0.9731 0.4698 0.4420  1 B 2.10
Pt 0.9729 0.9493 0.4411  1 B 2.10
Rh 0.7088 0.4191 0.1241  6 Pt 2.66-2.67

=====

# 4
Below is crystalline Nd3B2SbPt9 at its relaxed geometry, with properties calculated at the PBE level.

E_tot (eV/atom): -6.510
Space-group type: P-3m1, No. 164
Mass density (Mg/m³): 13.76

a = 5.8553 Å, b = 5.8553 Å, c = 9.4772 Å
α = 90.00°, β = 90.00°, γ = 120.00°
With the nearest neighbours (Å) after each atom.
Fractional coordinates of all 15 atoms:
Nd 0.0000 0.0000 0.0000  12 Pt 2.93-3.14
Nd 0.3333 0.6667 0.6154  6 Pt 3.09
Nd 0.6667 0.3333 0.3846  6 Pt 3.09
B 0.3333 0.6667 0.1430  6 Pt 2.11-2.17
B 0.6667 0.3333 0.8570  6 Pt 2.11-2.17
Sb 0.0000 0.0000 0.5000  6 Pt 2.70
Pt 0.0000 0.5000 0.0000  2 B 2.17
Pt 0.1681 0.3361 0.2788  1 B 2.11
Pt 0.1681 0.8319 0.2788  1 B 2.11
Pt 0.3361 0.1681 0.7212  1 B 2.11
Pt 0.5000 0.0000 0.0000  2 B 2.17
Pt 0.5000 0.5000 0.0000  2 B 2.17
Pt 0.6639 0.8319 0.2788  1 B 2.11
Pt 0.8319 0.1681 0.7212  1 B 2.11
Pt 0.8319 0.6639 0.7212  1 B 2.11

=====

# 5
Below is crystalline NdSiBPt6 at its relaxed geometry, with properties calculated at the PBE level.

E_tot (eV/atom): -6.479
Space-group type: Imma, No. 74
Mass density (Mg/m³): 13.69

a = 7.7842 Å, b = 7.7842 Å, c = 7.7842 Å
α = 124.23°, β = 117.10°, γ = 88.97°
With the nearest neighbours (Å) after each atom.
Fractional coordinates of all 18 atoms:
Nd 0.4248 0.1748 0.2500  6 Pt 2.94-3.24
Nd 0.5752 0.8252 0.7500  6 Pt 2.94-3.24
Si 0.0000 0.0000 0.5000  6 Pt 2.35-2.36
Si 0.0000 0.5000 0.0000  6 Pt 2.35-2.36
B 0.0000 0.5000 0.5000  6 Pt 2.12-2.14
B 0.5000 0.5000 0.0000  6 Pt 2.12-2.14
Pt 0.1055 0.4031 0.2613  1 B 2.12, 1 Si 2.36
Pt 0.1055 0.8443 0.7024  1 B 2.12, 1 Si 2.36
Pt 0.1336 0.8836 0.2500  2 Si 2.35
Pt 0.3102 0.5602 0.7500  2 B 2.14
Pt 0.3581 0.1557 0.7613  1 B 2.12, 1 Si 2.36
Pt 0.3581 0.5969 0.2024  1 B 2.12, 1 Si 2.36
Pt 0.6419 0.4031 0.7976  1 B 2.12, 1 Si 2.36
Pt 0.6419 0.8443 0.2387  1 B 2.12, 1 Si 2.36
Pt 0.6898 0.4398 0.2500  2 B 2.14
Pt 0.8664 0.1164 0.7500  2 Si 2.35
Pt 0.8945 0.1557 0.2976  1 B 2.12, 1 Si 2.36
Pt 0.8945 0.5969 0.7387  1 B 2.12, 1 Si 2.36

=====

# 6
Below is crystalline Nd3SiB2Pt9 at its relaxed geometry, with properties calculated at the PBE level.

E_tot (eV/atom): -6.664
Space-group type: P-3m1, No. 164
Mass density (Mg/m³): 13.89

a = 5.8362 Å, b = 5.8362 Å, c = 9.0720 Å
α = 90.00°, β = 90.00°, γ = 120.00°
With the nearest neighbours (Å) after each atom.
Fractional coordinates of all 15 atoms:
Nd 0.0000 0.0000 0.0000  12 Pt 2.92-3.14
Nd 0.3333 0.6667 0.6091  9 Pt 3.05-3.33
Nd 0.6667 0.3333 0.3909  9 Pt 3.05-3.33
Si 0.0000 0.0000 0.5000  6 Pt 2.50
B 0.3333 0.6667 0.1510  6 Pt 2.14-2.17
B 0.6667 0.3333 0.8490  6 Pt 2.14-2.17
Pt 0.0000 0.5000 0.0000  2 B 2.17
Pt 0.1644 0.3288 0.2937  1 B 2.14
Pt 0.1644 0.8356 0.2937  1 B 2.14
Pt 0.3288 0.1644 0.7063  1 B 2.14
Pt 0.5000 0.0000 0.0000  2 B 2.17
Pt 0.5000 0.5000 0.0000  2 B 2.17
Pt 0.6712 0.8356 0.2937  1 B 2.14
Pt 0.8356 0.1644 0.7063  1 B 2.14
Pt 0.8356 0.6712 0.7063  1 B 2.14

=====

# 7
Below is crystalline Nd2SnBPt6 at its relaxed geometry, with properties calculated at the PBE level.

E_tot (eV/atom): -6.462
Space-group type: R-3m, No. 166
ΔE_f (eV per atom): -0.82
Mass density (Mg/m³): 13.58

a = 7.4962 Å, b = 7.4962 Å, c = 7.4962 Å
α = 45.35°, β = 45.35°, γ = 45.35°
With the nearest neighbours (Å) after each atom.
Fractional coordinates of all 10 atoms:
Nd 0.2198 0.2198 0.2198  6 Pt 3.08
Nd 0.7802 0.7802 0.7802  6 Pt 3.08
Sn 0.5000 0.5000 0.5000  6 Pt 2.68
B 0.0000 0.0000 0.0000  6 Pt 2.10
Pt 0.2315 0.2315 0.7210  1 B 2.10
Pt 0.2315 0.7210 0.2315  1 B 2.10
Pt 0.2790 0.7685 0.7685  1 B 2.10
Pt 0.7210 0.2315 0.2315  1 B 2.10
Pt 0.7685 0.2790 0.7685  1 B 2.10
Pt 0.7685 0.7685 0.2790  1 B 2.10

=====

# 8
Below is crystalline Nd3ZnB2Pt9 at its relaxed geometry, with properties calculated at the PBE level.

E_tot (eV/atom): -6.359
Space-group type: P-3m1, No. 164
ΔE_f (eV per atom): -0.81
Mass density (Mg/m³): 13.90

a = 5.8018 Å, b = 5.8018 Å, c = 9.3272 Å
α = 90.00°, β = 90.00°, γ = 120.00°
With the nearest neighbours (Å) after each atom.
Fractional coordinates of all 15 atoms:
Nd 0.0000 0.0000 0.0000  12 Pt 2.90-3.15
Nd 0.3333 0.6667 0.6101  6 Pt 3.06
Nd 0.6667 0.3333 0.3899  6 Pt 3.06
Zn 0.0000 0.0000 0.5000  6 Pt 2.59
B 0.3333 0.6667 0.1503  6 Pt 2.12-2.18
B 0.6667 0.3333 0.8497  6 Pt 2.12-2.18
Pt 0.0000 0.5000 0.0000  2 B 2.18
Pt 0.1653 0.3305 0.2869  1 B 2.12
Pt 0.1653 0.8347 0.2869  1 B 2.12
Pt 0.3305 0.1653 0.7131  1 B 2.12
Pt 0.5000 0.0000 0.0000  2 B 2.18
Pt 0.5000 0.5000 0.0000  2 B 2.18
Pt 0.6695 0.8347 0.2869  1 B 2.12
Pt 0.8347 0.1653 0.7131  1 B 2.12
Pt 0.8347 0.6695 0.7131  1 B 2.12

=====

# 9
Below is crystalline NdPuB at its relaxed geometry, with properties calculated at the PBE level.

E_tot (eV/atom): -8.606
Space-group type: Cmcm, No. 63
ΔE_f (eV per atom): -0.01
Mass density (Mg/m³): 10.43

a = 10.1598 Å, b = 10.1598 Å, c = 3.2433 Å
α = 90.00°, β = 90.00°, γ = 157.70°
With the nearest neighbours (Å) after each atom.
Fractional coordinates of all 6 atoms:
Nd 0.1832 0.8168 0.7500  2 Nd 3.24, 1 B 3.26, 4 Pu 3.43
Nd 0.8168 0.1832 0.2500  2 Nd 3.24, 1 B 3.26, 4 Pu 3.43
Pu 0.4318 0.5682 0.7500  6 B 2.63-2.73
Pu 0.5682 0.4318 0.2500  6 B 2.63-2.73
B 0.0196 0.9804 0.7500  2 B 1.80
B 0.9804 0.0196 0.2500  2 B 1.80